Entry 1:
AlGaCu2As2O10: relaxed, PBEsol.

```
32
Lattice="5.7080 0.0000 0.0000 0.0000 10.1994 0.0000 -1.3702 0.0000 7.2460" Properties=species:S:1:pos:R:3 pbc="T T T"
Al 0.8899 0.0000 1.0597
Al 3.4480 5.0997 6.1863
Ga 0.6018 3.6032 6.1999
Ga 3.7360 8.7029 1.0461
Cu 0.3007 8.3012 3.3251
Cu 1.1755 5.4816 3.8897
Cu 3.1624 0.3820 3.3563
Cu 4.0372 3.2016 3.9209
As 0.0029 0.6291 5.2767
As 1.5043 2.9463 2.0036
As 2.8336 8.0460 5.2424
As 4.3350 5.7288 1.9693
O -1.0142 4.0705 5.5056
O 0.0446 6.4737 2.6476
O -0.5204 9.8525 6.5692
O 0.5336 1.7061 1.3528
O 0.5732 3.7674 3.1820
O 0.9002 9.9906 4.0856
O 1.0434 1.8445 5.8805
O 2.0247 3.9896 0.7610
O 1.4180 7.3039 4.5567
O 2.4417 9.7722 1.7559
O 1.8962 4.6726 5.4901
O 2.9199 2.2042 2.6893
O 2.3132 9.0893 6.4850
O 3.2944 6.9441 1.3655
O 3.4377 4.8909 3.1604
O 3.7646 8.8670 4.0640
O 3.8043 6.8058 5.8932
O 4.8583 4.7528 0.6768
O 4.2933 1.3740 4.5984
O 5.3521 9.1702 1.7404
```

Calculated values
Electronic total energy: -6.33 eV/atom
Space group: P2_1, No. 4



Entry 2:
AlCuAsO5: relaxed, PBEsol.

```
32
Lattice="7.3288 0.0000 0.0000 0.0000 10.1825 0.0000 -1.0318 0.0000 5.5667" Properties=species:S:1:pos:R:3 pbc="T T T"
Al 0.6362 1.8136 2.4448
Al 0.1203 3.2776 5.2281
Al 6.1767 6.9049 0.3386
Al 5.6608 8.3689 3.1219
Cu 2.4369 1.4101 5.0762
Cu 2.9528 3.6812 2.2928
Cu 3.3441 6.5013 3.2739
Cu 3.8600 8.7724 0.4905
As 1.9136 6.2341 0.4339
As 1.3977 9.0396 3.2172
As 4.8992 1.1429 2.3495
As 4.3833 3.9484 5.1328
O 0.5560 7.2218 0.6850
O 0.0401 8.0519 3.4683
O 1.0051 0.1146 2.1384
O 0.4892 4.9767 4.9217
O 0.9928 2.2574 4.1023
O 1.5087 2.8339 1.3190
O 2.3152 5.5068 1.9605
O 1.7993 9.7670 4.7439
O 2.2078 7.0743 5.3209
O 2.7237 8.1995 2.5375
O 3.5733 1.9830 3.0292
O 4.0892 3.1082 0.2458
O 4.4976 0.4155 0.8228
O 3.9817 4.6757 3.6062
O 4.7883 7.3486 4.2477
O 5.3042 7.9251 1.4644
O 5.8077 5.2058 0.6450
O 5.2918 10.0679 3.4283
O 6.2568 2.1306 2.0984
O 5.7409 2.9607 4.8817
```

Calculated values
Electronic total energy: -6.56 eV/atom
Space group: P2_1/c, No. 14



Entry 3:
Zr2AlCuAs: relaxed, PBEsol.

```
5
Lattice="4.9851 0.0000 0.0000 0.0000 4.9851 0.0000 0.0000 0.0000 4.1995" Properties=species:S:1:pos:R:3 pbc="T T T"
Zr 0.0000 2.4925 0.0000
Zr 2.4925 0.0000 0.0000
Al 0.0000 0.0000 0.0000
Cu 0.0000 0.0000 2.0997
As 2.4925 2.4925 2.0997
```

Calculated values
Energy relative to the elements: 460 meV per atom
Space group: P4/mmm, No. 123



Entry 4:
Eu3Al2As4: relaxed, PBEsol.

```
18
Lattice="6.5790 -5.1168 0.0000 6.5790 5.1168 0.0000 -0.1587 0.0000 6.5783" Properties=species:S:1:pos:R:3 pbc="T T T"
Eu 6.4600 4.1353 4.9337
Eu 4.9904 1.2943 0.1977
Eu 8.0883 1.2943 3.0915
Eu 4.9111 -1.2943 3.4869
Eu 8.0090 -1.2943 6.3806
Eu 6.5394 -4.1353 1.6446
Al 2.6140 1.2835 3.8589
Al 2.6933 -1.2835 0.5697
Al 10.3060 1.2835 6.0086
Al 10.3854 -1.2835 2.7194
As 1.9118 0.9042 6.1829
As 5.0413 1.7627 3.4642
As 1.9911 -0.9042 2.8937
As 7.8788 1.7627 6.4033
As 5.1206 -1.7627 0.1751
As 11.0083 0.9042 3.6846
As 7.9581 -1.7627 3.1141
As 11.0876 -0.9042 0.3954
```

Calculated values
Energy relative to the elements: -957 meV per atom
Space group: C2/c, No. 15